Crystalline SrNi2SF at its relaxed geometry. Source: Alexandria via LeMat-Bulk, functional GGA+U.

Lattice parameters (Å, degrees): 4.056 6.250 4.056 90.00 90.00 90.00
Site moments in Bohr magnetons follow the coordinates.
Sites, in units of the cell vectors:
F (0.000, 0.000, 0.000)  -0.06
Ni (0.500, 0.000, 0.000)  0.83
Ni (0.000, 0.000, 0.500)  0.95
S (0.000, 0.500, 0.000)  -0.04
Sr (0.500, 0.500, 0.500)  -0.02

Its total energy is -3.16 eV per atom. The total moment is 1.28 μB/cell. For the theoretical density, the calculation gives 4.1 g cm⁻³.